Ca2Zn: relaxed, PBE-GGA.

The calculation puts the total magnetization at 0.0 μB/f.u. The value obtained for the total energy is -1.77 eV per atom. The calculation puts the energy relative to the elements at -0.0128 eV/atom.

The space group is P4_2/mnm (No. 136) and the conventional cell measures 7.3113, 7.3113 and 4.0953 Å, with angles of 90.00, 90.00 and 90.00 degrees. The distinct sites, in fractional coordinates, are Ca at (0.2133, 0.2133, 0.0000) and Zn at (0.0000, 0.0000, 0.5000).